Record 1
5
Lattice="-2.8981 0.7116 -2.7850 2.3061 -1.7853 -2.8559 -2.2123 -4.6429 1.1159" Properties=species:S:1:pos:R:3 comment="LaAsW2N | the Alexandria database | GGA-PBEsol | relaxed" vol_a3_per_fu=87.7 dos_ef_per_ev_atom=0.6988 sg="P4/mmm (123)" total_energy_ev_per_atom=-9.27 e_form_raw_kcal_per_mol_atoms=1.043 pbc="T T T"
La -1.4022 -2.8583 -2.2626
W 1.1531 -0.8926 -1.4280
W -1.4491 0.3558 -1.3925
As -1.1062 -2.3215 0.5579
N 0.0000 0.0000 0.0000

Record 2
4
Lattice="-2.6677 -0.6194 -1.1851 -1.2131 -1.6346 3.5851 -1.8657 4.9371 1.6197" Properties=species:S:1:pos:R:3 comment="ScTcCl2 | the Alexandria database | GGA-PBEsol | relaxed" vol_a3_per_fu=67.9 dos_ef_per_ev_atom=0.7172 sg="Pmmm (47)" total_energy_ev_per_atom=-5.75 relative_energy_mev_per_atom=414 e_form_raw_kcal_per_mol_atoms=-6.438 pbc="T T T"
Cl -2.2667 2.1589 0.2173
Cl 0.0000 0.0000 0.0000
Tc -1.5394 1.6513 2.6024
Sc -1.9404 -1.1270 1.2000

Record 3
4
Lattice="2.9294 0.0000 0.0000 0.0000 4.6517 -0.0035 -1.4647 -0.5474 4.5011" Properties=species:S:1:pos:R:3 comment="TcTeRu2 | the Alexandria database | GGA-PBEsol | relaxed" vol_a3_per_fu=61.3 dos_ef_per_ev_atom=0.7545 sg="Cm (8)" total_energy_ev_per_atom=-8.45 e_form_raw_kcal_per_mol_atoms=7.738 pbc="T T T"
Ru 0.0000 3.1682 2.2486
Ru 1.4647 4.0549 4.3681
Tc 1.4647 2.4773 0.1503
Te 1.4647 0.8339 2.2264

Record 4
20
Lattice="3.8002 0.0000 0.0000 0.0000 5.3753 0.0045 0.0000 -0.0100 10.7422" Properties=species:S:1:pos:R:3 comment="Sr3CaV4O12 | the Alexandria database | GGA-PBEsol | relaxed" vol_a3_per_fu=219.4 dos_ef_per_ev_atom=0.2320 sg="Pmmm (47)" total_energy_ev_per_atom=-8.28 e_form_raw_kcal_per_mol_atoms=-65.091 pbc="T T T"
O 1.9001 2.6827 5.3733
O 0.0000 1.3253 9.4203
O 1.9001 -0.0074 8.0982
O 1.9001 5.3727 2.6485
O 1.9001 2.6877 0.0023
O 0.0000 4.0401 1.3264
O 0.0000 4.0245 6.7282
O 0.0000 4.0371 9.4273
O 0.0000 1.3282 1.3194
O 0.0000 1.3408 4.0185
O 0.0000 1.3348 6.7222
O 0.0000 4.0305 4.0245
Sr 1.9001 2.6852 2.6799
Sr 1.9001 2.6801 8.0668
Sr 1.9001 -0.0050 5.3711
Ca 1.9001 0.0000 0.0000
V 0.0000 2.6827 5.3733
V 0.0000 -0.0074 8.0817
V 0.0000 2.6877 0.0023
V 0.0000 5.3727 2.6650